Density functional theory data (GGA-PBE) for NbGaTc2 after structural relaxation.

a b c (Å): 6.0206 6.0206 6.0206
angles (deg): 153.53 136.25 51.87
Atoms (fractional coordinates):
Nb1 0.0000 0.0000 0.0000
Ga1 0.5000 0.5000 0.0000
Tc1 0.2811 0.2811 0.0000
Tc2 0.7189 0.7189 0.0000

Results
energy relative to the elements	469	meV per atom
calculated density	8.89	g/cm³
DOS at the Fermi energy	0.837	states/eV per atom
V	67.0	Å³ per cell
symmetry	Immm